{"formula": "BSbAsI2", "functional": "PBE", "state": "relaxed", "cell": [[4.877, 0.000, 0.000], [0.000, 4.877, 0.000], [0.000, 0.000, 5.222]], "species": ["B", "Sb", "As", "I", "I"], "frac_coords": [[0.000, 0.000, 0.000], [0.000, 0.000, 0.500], [0.500, 0.500, 0.500], [0.000, 0.500, 0.000], [0.500, 0.000, 0.000]], "e_above_lowest_polymorph_ev_per_atom": 0.0000, "dos_at_fermi_per_ev_atom": 0.541, "volume_a3_per_fu": 124.2}

---

{"formula": "ScSi3Pt3", "functional": "PBE", "state": "relaxed", "cell": [[6.576, 0.000, 0.000], [0.000, 6.576, 0.000], [0.000, 0.000, 6.576]], "species": ["Sc", "Sc", "Si", "Si", "Si", "Si", "Si", "Si", "Pt", "Pt", "Pt", "Pt", "Pt", "Pt"], "frac_coords": [[0.000, 0.000, 0.000], [0.500, 0.500, 0.500], [0.000, 0.250, 0.500], [0.000, 0.750, 0.500], [0.250, 0.500, 0.000], [0.500, 0.000, 0.250], [0.500, 0.000, 0.750], [0.750, 0.500, 0.000], [0.000, 0.500, 0.250], [0.000, 0.500, 0.750], [0.250, 0.000, 0.500], [0.500, 0.250, 0.000], [0.500, 0.750, 0.000], [0.750, 0.000, 0.500]], "energy_ev_per_cell": -87.453, "dos_at_fermi_per_ev_atom": 0.624, "volume_a3_per_fu": 142.2}